Computed, not measured: crystalline CaHo2UN4 at its relaxed geometry at the PBE level of DFT.

As for the total energy: -67.726 eV/cell. For the total magnetic moment, the calculation gives 1.5 μB per formula unit. The value obtained for the formation energy without anion corrections is -1497 meV/atom.

The space group is P2/m (No. 10) and the conventional cell measures 5.954, 3.471 and 5.958 Å, with angles of 90.00, 108.50 and 90.00 degrees. The inequivalent atoms are Ca at (0.000, 0.000, 0.000), Ho at (0.000, 0.500, 0.500), Ho at (0.500, 0.000, 0.500), U at (0.500, 0.500, 0.000), N at (0.260, 0.000, 0.751) and N at (0.279, 0.500, 0.242).

Computed, not measured: crystalline Tm2CrC2 at its relaxed geometry at the PBE level of DFT.

The formation energy comes out at -0.31 eV/atom. As for the total energy: -154.324 eV/cell. For the total magnetic moment, the calculation gives 0.0 μB per formula unit.

The space group is C2/m (No. 12) and the conventional cell measures 10.788, 4.975 and 6.540 Å, with angles of 90.00, 118.65 and 90.00 degrees. The inequivalent atoms are Tm at (0.034, 0.000, 0.276), Tm at (0.181, 0.500, 0.118), Cr at (0.136, 0.500, 0.628), C at (0.007, 0.500, 0.286) and C at (0.186, 0.000, 0.113).